(1)
The following is a DFT calculation (PBE-GGA) of crystalline SiIrSCl2 at its relaxed geometry.

As for the space-group type: P4/mmm (123). The total energy is -3.93 eV per atom. The uncorrected formation energy comes out at 0.492 eV/atom. The spin magnetization is 0.00 μB per formula unit. The relative energy among the computed polymorphs comes out at 0 kJ/mol of formula units. The value obtained for the density of states at the Fermi level is 2.6 states/eV per cell.

a b c (Å): 4.757 4.757 4.690
angles (deg): 90.00 90.00 90.00
Fractional positions:
Si1 0.000 0.000 0.000
Ir1 0.500 0.500 0.500
S1 0.500 0.500 0.000
Cl1 0.000 0.500 0.500
Cl2 0.500 0.000 0.500

---

(2)
The following is a DFT calculation (PBE-GGA) of crystalline KRbTl3Pd at its relaxed geometry.

As for the space-group type: C2/c (15). The total energy is -2.48 eV per atom. The spin magnetization is 0.00 μB per formula unit. The value obtained for the density of states at the Fermi level is 8.8 states/eV per cell.

a b c (Å): 10.106 10.106 7.090
angles (deg): 101.70 101.70 135.59
Fractional positions:
K1 0.008 0.992 0.750
K2 0.992 0.008 0.250
Rb1 0.342 0.658 0.750
Rb2 0.658 0.342 0.250
Tl1 0.070 0.737 0.958
Tl2 0.263 0.930 0.542
Tl3 0.436 0.564 0.250
Tl4 0.564 0.436 0.750
Tl5 0.737 0.070 0.458
Tl6 0.930 0.263 0.042
Pd1 0.280 0.720 0.250
Pd2 0.720 0.280 0.750

---

(3)
The following is a DFT calculation (PBE-GGA) of crystalline NaRhC2I at its relaxed geometry.

As for the space-group type: P4/mmm (123). The total energy is -2.84 eV per atom. The uncorrected formation energy comes out at 2.897 eV/atom. The spin magnetization is 0.00 μB per formula unit. The value obtained for the density of states at the Fermi level is 4.7 states/eV per cell.

a b c (Å): 4.257 4.257 4.973
angles (deg): 90.00 90.00 90.00
Fractional positions:
Na1 0.000 0.000 0.000
Rh1 0.000 0.000 0.500
C1 0.000 0.500 0.000
C2 0.500 0.000 0.000
I1 0.500 0.500 0.500

---

(4)
The following is a DFT calculation (PBE-GGA) of crystalline RbNaPd3 at its relaxed geometry.

As for the space-group type: Pm-3m (221). The total energy is -2.48 eV per atom. The spin magnetization is 0.00 μB per formula unit. The relative energy among the computed polymorphs comes out at 210 kJ/mol of formula units. The value obtained for the density of states at the Fermi level is 1.7 states/eV per cell.

a b c (Å): 5.331 5.331 5.331
angles (deg): 90.00 90.00 90.00
Fractional positions:
Rb1 0.000 0.000 0.000
Na1 0.500 0.500 0.500
Pd1 0.000 0.000 0.500
Pd2 0.000 0.500 0.000
Pd3 0.500 0.000 0.000

---

(5)
The following is a DFT calculation (PBE-GGA) of crystalline HoCd6Ag4 at its relaxed geometry.

As for the space-group type: I-42m (121). The total energy is -1.95 eV per atom. The spin magnetization is 0.00 μB per formula unit. The value obtained for the density of states at the Fermi level is 6.5 states/eV per cell.

a b c (Å): 7.229 7.229 7.229
angles (deg): 120.49 120.49 89.15
Fractional positions:
Ho1 0.000 0.000 0.000
Cd1 0.000 0.500 0.500
Cd2 0.117 0.117 0.666
Cd3 0.450 0.450 0.334
Cd4 0.500 0.000 0.500
Cd5 0.550 0.883 0.000
Cd6 0.883 0.550 0.000
Ag1 0.255 0.612 0.000
Ag2 0.388 0.388 0.643
Ag3 0.612 0.255 0.000
Ag4 0.745 0.745 0.357

---

Question: spin magnetization of number 3 (NaRhC2I)?
Answer: 0.00 μB per formula unit

---

Question: What is the formula in the second record?
Answer: KRbTl3Pd

---

Copy entry 4 word for word.
The following is a DFT calculation (PBE-GGA) of crystalline RbNaPd3 at its relaxed geometry.

As for the space-group type: Pm-3m (221). The total energy is -2.48 eV per atom. The spin magnetization is 0.00 μB per formula unit. The relative energy among the computed polymorphs comes out at 210 kJ/mol of formula units. The value obtained for the density of states at the Fermi level is 1.7 states/eV per cell.

a b c (Å): 5.331 5.331 5.331
angles (deg): 90.00 90.00 90.00
Fractional positions:
Rb1 0.000 0.000 0.000
Na1 0.500 0.500 0.500
Pd1 0.000 0.000 0.500
Pd2 0.000 0.500 0.000
Pd3 0.500 0.000 0.000